No. 1
Compound: BaSrAu3
Source: Alexandria via LeMat-Bulk
Functional: PBE
Structure: optimized geometry

Geometry as CIF:
```
data_BaSrAu3
_cell_length_a 5.9264
_cell_length_b 5.9264
_cell_length_c 5.9264
_cell_angle_alpha 90.00
_cell_angle_beta 90.00
_cell_angle_gamma 90.00
_space_group_name_H-M_alt 'P m -3 m'
_space_group_IT_number 221
_space_group_name_Hall '-P 4 2 3'
loop_
_atom_site_label
_atom_site_type_symbol
_atom_site_fract_x
_atom_site_fract_y
_atom_site_fract_z
Ba1 Ba 0.0000 0.0000 0.0000
Sr1 Sr 0.5000 0.5000 0.5000
Au1 Au 0.0000 0.0000 0.5000
```

VASP energy = -2.76 eV/atom
polymorph energy (0 for the lowest one) = 685 meV per atom
total magnetization = 0.00 μB/f.u.
energy of formation = -0.071 eV per atom


No. 2
Compound: BaSrAu2
Source: Alexandria via LeMat-Bulk
Functional: PBE
Structure: optimized geometry

Geometry as CIF:
```
data_BaSrAu2
_cell_length_a 8.0184
_cell_length_b 4.6347
_cell_length_c 8.0592
_cell_angle_alpha 90.00
_cell_angle_beta 109.45
_cell_angle_gamma 90.00
_space_group_name_H-M_alt 'C 1 2/m 1'
_space_group_IT_number 12
loop_
_space_group_symop_operation_xyz
'x,y,z'
'-x,-y,-z'
'-x,y,-z'
'x,-y,z'
'x+1/2,y+1/2,z'
'-x+1/2,-y+1/2,-z'
'-x+1/2,y+1/2,-z'
'x+1/2,-y+1/2,z'
loop_
_atom_site_label
_atom_site_type_symbol
_atom_site_fract_x
_atom_site_fract_y
_atom_site_fract_z
Ba1 Ba 0.0000 0.0000 0.0000
Sr1 Sr 0.0000 0.5000 0.5000
Au1 Au 0.2450 0.0000 0.7349
```

VASP energy = -3.23 eV/atom
polymorph energy (0 for the lowest one) = 47 meV per atom
total magnetization = 0.00 μB/f.u.
energy of formation = -0.687 eV per atom


No. 3
Compound: BaSr2Au
Source: Alexandria via LeMat-Bulk
Functional: PBE
Structure: optimized geometry

Geometry as CIF:
```
data_BaSr2Au
_cell_length_a 4.0653
_cell_length_b 6.3242
_cell_length_c 13.3667
_cell_angle_alpha 90.00
_cell_angle_beta 90.00
_cell_angle_gamma 90.00
_space_group_name_H-M_alt 'I m m m'
_space_group_IT_number 71
_space_group_name_Hall '-I 2 2'
loop_
_atom_site_label
_atom_site_type_symbol
_atom_site_fract_x
_atom_site_fract_y
_atom_site_fract_z
Ba1 Ba 0.0000 0.0000 0.0000
Sr1 Sr 0.0000 0.5000 0.1839
Au1 Au 0.0000 0.0000 0.5000
```

VASP energy = -2.49 eV/atom
polymorph energy (0 for the lowest one) = 59 meV per atom
total magnetization = 0.00 μB/f.u.
energy of formation = -0.353 eV per atom


No. 4
Compound: Ba3SrAu
Source: Alexandria via LeMat-Bulk
Functional: PBE
Structure: optimized geometry

Geometry as CIF:
```
data_Ba3SrAu
_cell_length_a 14.9605
_cell_length_b 4.4185
_cell_length_c 16.1562
_cell_angle_alpha 90.00
_cell_angle_beta 109.85
_cell_angle_gamma 90.00
_space_group_name_H-M_alt 'C 1 m 1'
_space_group_IT_number 8
loop_
_space_group_symop_operation_xyz
'x,y,z'
'x,-y,z'
'x+1/2,y+1/2,z'
'x+1/2,-y+1/2,z'
loop_
_atom_site_label
_atom_site_type_symbol
_atom_site_fract_x
_atom_site_fract_y
_atom_site_fract_z
Ba1 Ba 0.0000 0.0000 0.0000
Ba2 Ba 0.0034 0.0000 0.6006
Ba3 Ba 0.1576 0.5000 0.8479
Ba4 Ba 0.2894 0.5000 0.1134
Ba5 Ba 0.3447 0.0000 0.7538
Ba6 Ba 0.3511 0.0000 0.3666
Sr1 Sr 0.0623 0.5000 0.2535
Sr2 Sr 0.1866 0.5000 0.5094
Au1 Au 0.0335 0.0000 0.3968
Au2 Au 0.3212 0.0000 0.9616
```

VASP energy = -2.46 eV/atom
polymorph energy (0 for the lowest one) = 0 meV per atom
total magnetization = 0.00 μB/f.u.
energy of formation = -0.311 eV per atom


No. 5
Compound: Ba2Sr3Au4
Source: Alexandria via LeMat-Bulk
Functional: PBE
Structure: optimized geometry

Geometry as CIF:
```
data_Ba2Sr3Au4
_cell_length_a 8.6318
_cell_length_b 8.6234
_cell_length_c 8.5773
_cell_angle_alpha 90.00
_cell_angle_beta 108.63
_cell_angle_gamma 90.00
_space_group_name_H-M_alt 'P 1 21/c 1'
_space_group_IT_number 14
loop_
_space_group_symop_operation_xyz
'x,y,z'
'-x,-y,-z'
'-x,y+1/2,-z+1/2'
'x,-y+1/2,z+1/2'
loop_
_atom_site_label
_atom_site_type_symbol
_atom_site_fract_x
_atom_site_fract_y
_atom_site_fract_z
Ba1 Ba 0.1976 0.1768 0.0764
Sr1 Sr 0.2446 0.6680 0.2499
Sr2 Sr 0.5000 0.0000 0.5000
Au1 Au 0.0885 0.5348 0.8713
Au2 Au 0.4978 0.1253 0.8744
```

VASP energy = -3.16 eV/atom
total magnetization = 0.00 μB/f.u.
energy of formation = -0.712 eV per atom


No. 6
Compound: BaSr2Au
Source: Alexandria via LeMat-Bulk
Functional: PBE
Structure: optimized geometry

Geometry as CIF:
```
data_BaSr2Au
_cell_length_a 6.7010
_cell_length_b 13.0508
_cell_length_c 4.5648
_cell_angle_alpha 90.00
_cell_angle_beta 90.00
_cell_angle_gamma 90.00
_space_group_name_H-M_alt 'C m m m'
_space_group_IT_number 65
_space_group_name_Hall '-C 2 2'
loop_
_atom_site_label
_atom_site_type_symbol
_atom_site_fract_x
_atom_site_fract_y
_atom_site_fract_z
Ba1 Ba 0.0000 0.0000 0.0000
Sr1 Sr 0.0000 0.3392 0.5000
Au1 Au 0.0000 0.5000 0.0000
```

VASP energy = -2.51 eV/atom
polymorph energy (0 for the lowest one) = 47 meV per atom
total magnetization = 0.00 μB/f.u.
energy of formation = -0.366 eV per atom


No. 7
Compound: BaSr2Au
Source: Alexandria via LeMat-Bulk
Functional: PBE
Structure: optimized geometry

Geometry as CIF:
```
data_BaSr2Au
_cell_length_a 8.5715
_cell_length_b 8.5715
_cell_length_c 8.5715
_cell_angle_alpha 90.00
_cell_angle_beta 90.00
_cell_angle_gamma 90.00
_space_group_name_H-M_alt 'F -4 3 m'
_space_group_IT_number 216
_space_group_name_Hall 'F -4 2 3'
loop_
_atom_site_label
_atom_site_type_symbol
_atom_site_fract_x
_atom_site_fract_y
_atom_site_fract_z
Ba1 Ba 0.0000 0.0000 0.0000
Sr1 Sr 0.0000 0.0000 0.5000
Sr2 Sr 0.2500 0.2500 0.2500
Au1 Au 0.2500 0.2500 0.7500
```

VASP energy = -2.19 eV/atom
polymorph energy (0 for the lowest one) = 360 meV per atom
total magnetization = 0.00 μB/f.u.
energy of formation = -0.053 eV per atom


No. 8
Compound: Ba2Sr2Au
Source: Alexandria via LeMat-Bulk
Functional: PBE
Structure: optimized geometry

Geometry as CIF:
```
data_Ba2Sr2Au
_cell_length_a 6.2900
_cell_length_b 6.2900
_cell_length_c 6.5089
_cell_angle_alpha 90.00
_cell_angle_beta 90.00
_cell_angle_gamma 90.00
_space_group_name_H-M_alt 'P 4/m m m'
_space_group_IT_number 123
_space_group_name_Hall '-P 4 2'
loop_
_atom_site_label
_atom_site_type_symbol
_atom_site_fract_x
_atom_site_fract_y
_atom_site_fract_z
Ba1 Ba 0.0000 0.0000 0.0000
Ba2 Ba 0.5000 0.5000 0.0000
Sr1 Sr 0.0000 0.5000 0.5000
Au1 Au 0.0000 0.0000 0.5000
```

VASP energy = -2.43 eV/atom
polymorph energy (0 for the lowest one) = 0 meV per atom
total magnetization = 0.00 μB/f.u.
energy of formation = -0.333 eV per atom


No. 9
Compound: BaSr4Au
Source: Alexandria via LeMat-Bulk
Functional: PBE
Structure: optimized geometry

Geometry as CIF:
```
data_BaSr4Au
_cell_length_a 19.4344
_cell_length_b 7.5876
_cell_length_c 8.5111
_cell_angle_alpha 90.00
_cell_angle_beta 106.42
_cell_angle_gamma 90.00
_space_group_name_H-M_alt 'C 1 2/c 1'
_space_group_IT_number 15
loop_
_space_group_symop_operation_xyz
'x,y,z'
'-x,-y,-z'
'-x,y,-z+1/2'
'x,-y,z+1/2'
'x+1/2,y+1/2,z'
'-x+1/2,-y+1/2,-z'
'-x+1/2,y+1/2,-z+1/2'
'x+1/2,-y+1/2,z+1/2'
loop_
_atom_site_label
_atom_site_type_symbol
_atom_site_fract_x
_atom_site_fract_y
_atom_site_fract_z
Ba1 Ba 0.0000 0.0797 0.2500
Sr1 Sr 0.0994 0.4172 0.9503
Sr2 Sr 0.2002 0.0849 0.6506
Au1 Au 0.2500 0.2500 0.0000
```

VASP energy = -2.27 eV/atom
polymorph energy (0 for the lowest one) = 0 meV per atom
total magnetization = 0.00 μB/f.u.
energy of formation = -0.285 eV per atom


No. 10
Compound: BaSr3Au
Source: Alexandria via LeMat-Bulk
Functional: PBE
Structure: optimized geometry

Geometry as CIF:
```
data_BaSr3Au
_cell_length_a 6.2562
_cell_length_b 6.2562
_cell_length_c 6.2562
_cell_angle_alpha 90.00
_cell_angle_beta 90.00
_cell_angle_gamma 90.00
_space_group_name_H-M_alt 'P m -3 m'
_space_group_IT_number 221
_space_group_name_Hall '-P 4 2 3'
loop_
_atom_site_label
_atom_site_type_symbol
_atom_site_fract_x
_atom_site_fract_y
_atom_site_fract_z
Ba1 Ba 0.0000 0.0000 0.0000
Sr1 Sr 0.0000 0.5000 0.5000
Au1 Au 0.5000 0.5000 0.5000
```

VASP energy = -2.40 eV/atom
polymorph energy (0 for the lowest one) = 0 meV per atom
total magnetization = 0.00 μB/f.u.
energy of formation = -0.348 eV per atom


No. 11
Compound: Ba12SrAu5
Source: Alexandria via LeMat-Bulk
Functional: PBE
Structure: optimized geometry

Geometry as CIF:
```
data_Ba12SrAu5
_cell_length_a 11.4036
_cell_length_b 11.9125
_cell_length_c 12.4704
_cell_angle_alpha 90.00
_cell_angle_beta 90.00
_cell_angle_gamma 90.00
_space_group_name_H-M_alt 'I m m m'
_space_group_IT_number 71
_space_group_name_Hall '-I 2 2'
loop_
_atom_site_label
_atom_site_type_symbol
_atom_site_fract_x
_atom_site_fract_y
_atom_site_fract_z
Ba1 Ba 0.0000 0.1833 0.2006
Ba2 Ba 0.1815 0.5000 0.1743
Ba3 Ba 0.2021 0.3244 0.5000
Sr1 Sr 0.0000 0.0000 0.5000
Au1 Au 0.0000 0.0000 0.0000
Au2 Au 0.0000 0.3636 0.0000
Au3 Au 0.0000 0.5000 0.3802
```

VASP energy = -2.69 eV/atom
total magnetization = 0.00 μB/f.u.
energy of formation = -0.401 eV per atom